[1]
Material: Pr2Te4O11
Method: DFT, PBE
State: optimized geometry

Geometry as CIF:
```
data_Pr2Te4O11
_space_group_name_H-M_alt 'C 1 2/c 1'
_space_group_IT_number 15
_cell_length_a 12.839
_cell_length_b 5.330
_cell_length_c 16.719
_cell_angle_alpha 90.00
_cell_angle_beta 104.57
_cell_angle_gamma 90.00
loop_
_space_group_symop_operation_xyz
'x,y,z'
'-x,-y,-z'
'-x,y,-z+1/2'
'x,-y,z+1/2'
'x+1/2,y+1/2,z'
'-x+1/2,-y+1/2,-z'
'-x+1/2,y+1/2,-z+1/2'
'x+1/2,-y+1/2,z+1/2'
loop_
_atom_site_label
_atom_site_type_symbol
_atom_site_fract_x
_atom_site_fract_y
_atom_site_fract_z
Pr1 Pr 0.118 0.248 0.038
Te1 Te 0.118 0.223 0.699
Te2 Te 0.134 0.219 0.375
O1 O 0.000 0.350 0.750
O2 O 0.024 0.088 0.600
O3 O 0.072 0.381 0.453
O4 O 0.147 0.452 0.170
O5 O 0.208 0.039 0.945
O6 O 0.247 0.067 0.627
```

calculated density	5.8	g/cm³
M_tot	0.00	μB/f.u.
calculated volume	16.28	A^3/atom
formation energy without anion corrections	-1.812	eV per atom

[2]
Material: HfCdPdRu
Method: DFT, PBE
State: optimized geometry

Geometry as CIF:
```
data_HfCdPdRu
_space_group_name_H-M_alt 'F -4 3 m'
_space_group_IT_number 216
_space_group_name_Hall 'F -4 2 3'
_cell_length_a 6.498
_cell_length_b 6.498
_cell_length_c 6.498
_cell_angle_alpha 90.00
_cell_angle_beta 90.00
_cell_angle_gamma 90.00
loop_
_atom_site_label
_atom_site_type_symbol
_atom_site_fract_x
_atom_site_fract_y
_atom_site_fract_z
Hf1 Hf 0.000 0.000 0.000
Cd1 Cd 0.000 0.000 0.500
Pd1 Pd 0.250 0.250 0.750
Ru1 Ru 0.250 0.250 0.250
```

ΔH_f (0 K)	-0.42	eV per atom
calculated density	12.1	g/cm³
M_tot	0.00	μB/f.u.
calculated volume	17.15	A^3/atom

[3]
Material: V6IrRh8
Method: DFT, PBE
State: optimized geometry

Geometry as CIF:
```
data_V6IrRh8
_space_group_name_H-M_alt 'R -3'
_space_group_IT_number 148
_space_group_name_Hall '-R 3'
_cell_length_a 7.0797
_cell_length_b 7.0797
_cell_length_c 15.6923
_cell_angle_alpha 90.00
_cell_angle_beta 90.00
_cell_angle_gamma 120.00
loop_
_atom_site_label
_atom_site_type_symbol
_atom_site_fract_x
_atom_site_fract_y
_atom_site_fract_z
V1 V 0.0045 0.6840 0.1071
Ir1 Ir 0.0000 0.0000 0.5000
Rh1 Rh 0.0000 0.0000 0.1829
Rh2 Rh 0.0021 0.3388 0.0505
```

ΔH_f (0 K)	-0.15	eV per atom
calculated density	9.7	g/cm³
M_tot	0.00	μB/f.u.
calculated volume	15.14	A^3/atom

[4]
Material: NbRu3
Method: DFT, PBE
State: optimized geometry

Geometry as CIF:
```
data_NbRu3
_space_group_name_H-M_alt 'P m -3 m'
_space_group_IT_number 221
_space_group_name_Hall '-P 4 2 3'
_cell_length_a 3.905
_cell_length_b 3.905
_cell_length_c 3.905
_cell_angle_alpha 90.00
_cell_angle_beta 90.00
_cell_angle_gamma 90.00
loop_
_atom_site_label
_atom_site_type_symbol
_atom_site_fract_x
_atom_site_fract_y
_atom_site_fract_z
Nb1 Nb 0.000 0.000 0.000
Ru1 Ru 0.000 0.500 0.500
```

ΔH_f (0 K)	-0.12	eV per atom
calculated density	11.0	g/cm³
M_tot	0.00	μB/f.u.
calculated volume	14.89	A^3/atom

[5]
Material: SrLuAg4
Method: DFT, PBE
State: optimized geometry

Geometry as CIF:
```
data_SrLuAg4
_space_group_name_H-M_alt 'F -4 3 m'
_space_group_IT_number 216
_space_group_name_Hall 'F -4 2 3'
_cell_length_a 8.200
_cell_length_b 8.200
_cell_length_c 8.200
_cell_angle_alpha 90.00
_cell_angle_beta 90.00
_cell_angle_gamma 90.00
loop_
_atom_site_label
_atom_site_type_symbol
_atom_site_fract_x
_atom_site_fract_y
_atom_site_fract_z
Sr1 Sr 0.000 0.000 0.000
Lu1 Lu 0.250 0.250 0.250
Ag1 Ag 0.124 0.124 0.624
```

ΔH_f (0 K)	-0.12	eV per atom
calculated density	8.4	g/cm³
M_tot	0.00	μB/f.u.
calculated volume	22.97	A^3/atom

[6]
Material: BeRe2P
Method: DFT, PBE
State: optimized geometry

Geometry as CIF:
```
data_BeRe2P
_space_group_name_H-M_alt 'I -4 2 d'
_space_group_IT_number 122
_space_group_name_Hall 'I -4 2bw'
_cell_length_a 3.758
_cell_length_b 3.758
_cell_length_c 16.442
_cell_angle_alpha 90.00
_cell_angle_beta 90.00
_cell_angle_gamma 90.00
loop_
_atom_site_label
_atom_site_type_symbol
_atom_site_fract_x
_atom_site_fract_y
_atom_site_fract_z
Be1 Be 0.000 0.000 0.000
Re1 Re 0.210 0.250 0.125
P1 P 0.000 0.000 0.500
```

excess energy over the best structure of this formula in the dataset	0.706	eV per atom
ΔH_f (0 K)	0.43	eV per atom
calculated density	11.8	g/cm³
M_tot	0.00	μB/f.u.
calculated volume	14.51	A^3/atom

[7]
Material: CaSiPt
Method: DFT, PBE
State: optimized geometry

Geometry as CIF:
```
data_CaSiPt
_space_group_name_H-M_alt 'P n m a'
_space_group_IT_number 62
_cell_length_a 7.164
_cell_length_b 4.376
_cell_length_c 7.237
_cell_angle_alpha 90.00
_cell_angle_beta 90.00
_cell_angle_gamma 90.00
loop_
_space_group_symop_operation_xyz
'x,y,z'
'-x,-y,-z'
'-x+1/2,-y,z+1/2'
'x+1/2,y,-z+1/2'
'x+1/2,-y+1/2,-z+1/2'
'-x+1/2,y+1/2,z+1/2'
'-x,y+1/2,-z'
'x,-y+1/2,z'
loop_
_atom_site_label
_atom_site_type_symbol
_atom_site_fract_x
_atom_site_fract_y
_atom_site_fract_z
Ca1 Ca 0.006 0.250 0.189
Si1 Si 0.173 0.250 0.583
Pt1 Pt 0.191 0.750 0.403
```

calculated density	7.7	g/cm³
M_tot	0.00	μB/f.u.
calculated volume	18.91	A^3/atom
formation energy without anion corrections	-0.950	eV per atom

[8]
Material: LuBeAu
Method: DFT, PBE
State: optimized geometry

Geometry as CIF:
```
data_LuBeAu
_space_group_name_H-M_alt 'P -6 m 2'
_space_group_IT_number 187
_space_group_name_Hall 'P -6 2'
_cell_length_a 4.1685
_cell_length_b 4.1685
_cell_length_c 3.6480
_cell_angle_alpha 90.00
_cell_angle_beta 90.00
_cell_angle_gamma 120.00
loop_
_atom_site_label
_atom_site_type_symbol
_atom_site_fract_x
_atom_site_fract_y
_atom_site_fract_z
Lu1 Lu 0.0000 0.0000 0.0000
Be1 Be 0.3333 0.6667 0.5000
Au1 Au 0.6667 0.3333 0.5000
```

ΔH_f (0 K)	-0.53	eV per atom
calculated density	11.5	g/cm³
M_tot	0.00	μB/f.u.
calculated volume	18.30	A^3/atom

> What is the formula in the third record?

V6IrRh8

Repeat the first record exactly.
Material: Pr2Te4O11
Method: DFT, PBE
State: optimized geometry

Geometry as CIF:
```
data_Pr2Te4O11
_space_group_name_H-M_alt 'C 1 2/c 1'
_space_group_IT_number 15
_cell_length_a 12.839
_cell_length_b 5.330
_cell_length_c 16.719
_cell_angle_alpha 90.00
_cell_angle_beta 104.57
_cell_angle_gamma 90.00
loop_
_space_group_symop_operation_xyz
'x,y,z'
'-x,-y,-z'
'-x,y,-z+1/2'
'x,-y,z+1/2'
'x+1/2,y+1/2,z'
'-x+1/2,-y+1/2,-z'
'-x+1/2,y+1/2,-z+1/2'
'x+1/2,-y+1/2,z+1/2'
loop_
_atom_site_label
_atom_site_type_symbol
_atom_site_fract_x
_atom_site_fract_y
_atom_site_fract_z
Pr1 Pr 0.118 0.248 0.038
Te1 Te 0.118 0.223 0.699
Te2 Te 0.134 0.219 0.375
O1 O 0.000 0.350 0.750
O2 O 0.024 0.088 0.600
O3 O 0.072 0.381 0.453
O4 O 0.147 0.452 0.170
O5 O 0.208 0.039 0.945
O6 O 0.247 0.067 0.627
```

calculated density	5.8	g/cm³
M_tot	0.00	μB/f.u.
calculated volume	16.28	A^3/atom
formation energy without anion corrections	-1.812	eV per atom

> What is the calculated volume in the fifth record?

22.97 A^3/atom

> Which value of calculated volume does entry 2 give?

17.15 A^3/atom